First-principles (PBE-GGA) data for crystalline LaDyThIn at its relaxed geometry, as listed in Alexandria.

abc: 7.8596 7.8596 7.8596
angles: 90.00 90.00 90.00
Closest atoms and distances in Å follow each position.
Space group F-43m (No. 216)
Symmetry-distinct sites (fractional):
La 0.0000 0.0000 0.0000  4 In 3.40, 4 Th 3.40
Dy 0.0000 0.0000 0.5000  4 In 3.40, 4 Th 3.40
Th 0.2500 0.2500 0.2500  4 La 3.40, 4 Dy 3.40
In 0.2500 0.2500 0.7500  4 La 3.40, 4 Dy 3.40

As for the uncorrected energy: -4.97 eV/atom. The calculation puts the density of states at the Fermi level at 5.8 states/eV/f.u. Its calculated volume is 30.34 Å³ per atom. The formation energy comes out at -0.05 eV per atom.